1.
Rb2YPaSe4: relaxed, PBE.

Calculated values
The calculation puts the uncorrected formation energy at -1.500 eV per atom.

a = 7.3454 Å, b = 4.2079 Å, c = 8.4323 Å
α = 90.00°, β = 106.62°, γ = 90.00°
Atoms (fractional coordinates):
1 Rb 0.0000 0.0000 0.0000
2 Rb 0.5000 0.5000 0.0000
3 Y 0.0000 0.5000 0.5000
4 Pa 0.5000 0.0000 0.5000
5 Se 0.2332 0.0000 0.6980
6 Se 0.2652 0.5000 0.2995
7 Se 0.7348 0.5000 0.7005
8 Se 0.7668 0.0000 0.3020


2.
LaHf2CdAg: relaxed, PBE.

Calculated values
The value obtained for the formation energy is 1.57 eV/atom.

a = 5.2228 Å, b = 5.2228 Å, c = 5.7193 Å
α = 90.00°, β = 90.00°, γ = 90.00°
Atoms (fractional coordinates):
1 La 0.0000 0.0000 0.0000
2 Hf 0.0000 0.5000 0.0000
3 Hf 0.5000 0.0000 0.0000
4 Cd 0.0000 0.0000 0.5000
5 Ag 0.5000 0.5000 0.5000


3.
LiPt2W: relaxed, PBE.

Calculated values
The value obtained for the formation energy is -0.20 eV/atom.

a = 4.8447 Å, b = 4.8447 Å, c = 4.8447 Å
α = 133.59°, β = 133.59°, γ = 67.74°
Atoms (fractional coordinates):
1 Li 0.0000 0.0000 0.0000
2 Pt 0.2500 0.7500 0.5000
3 Pt 0.5000 0.5000 0.0000
4 W 0.7500 0.2500 0.5000


4.
Os3WN: relaxed, PBE.

Calculated values
The calculation puts the relative energy among the computed polymorphs at 2854 meV/atom. The calculation puts the uncorrected formation energy at 3.491 eV per atom.

a = 4.7827 Å, b = 4.7827 Å, c = 4.7827 Å
α = 90.00°, β = 90.00°, γ = 90.00°
Atoms (fractional coordinates):
1 Os 0.0000 0.0000 0.5000
2 Os 0.0000 0.5000 0.0000
3 Os 0.5000 0.0000 0.0000
4 W 0.0000 0.0000 0.0000
5 N 0.5000 0.5000 0.5000